Entry 1:
# RbTe2H2Se6 | Alexandria | PBE | optimized geometry
data_RbTe2H2Se6
_chemical_formula_sum 'Rb1 Te2 H2 Se6'
_cell_length_a 6.4702
_cell_length_b 7.9446
_cell_length_c 8.8117
_cell_angle_alpha 64.93
_cell_angle_beta 73.56
_cell_angle_gamma 72.14
_symmetry_space_group_name_H-M 'P -1'
_symmetry_Int_Tables_number 2
loop_
_symmetry_equiv_pos_as_xyz
'x,y,z'
'-x,-y,-z'
loop_
_atom_site_label
_atom_site_type_symbol
_atom_site_fract_x
_atom_site_fract_y
_atom_site_fract_z
_atom_site_occupancy
Rb1 Rb 0.0000 0.0000 0.0000 1
Te1 Te 0.3220 0.0404 0.3259 1
H1 H 0.3612 0.4293 0.9730 1
Se1 Se 0.0169 0.7167 0.6145 1
Se2 Se 0.3210 0.7977 0.6770 1
Se3 Se 0.4091 0.2338 0.9729 1
# ρ, g/cm³: 3.53
# Total energy, eV/atom: -3.30
# M_tot, μB/atom: 0.000

Entry 2:
# RbUHSe3 | Alexandria | PBE | optimized geometry
data_RbUHSe3
_chemical_formula_sum 'Rb2 U2 H2 Se6'
_cell_length_a 9.2627
_cell_length_b 3.9074
_cell_length_c 9.8317
_cell_angle_alpha 90.00
_cell_angle_beta 100.51
_cell_angle_gamma 90.00
_symmetry_space_group_name_H-M 'P 1 21/m 1'
_symmetry_Int_Tables_number 11
loop_
_symmetry_equiv_pos_as_xyz
'x,y,z'
'-x,-y,-z'
'-x,y+1/2,-z'
'x,-y+1/2,z'
loop_
_atom_site_label
_atom_site_type_symbol
_atom_site_fract_x
_atom_site_fract_y
_atom_site_fract_z
_atom_site_occupancy
Rb1 Rb 0.1631 0.2500 0.2688 1
U1 U 0.3333 0.7500 0.8565 1
H1 H 0.2479 0.2500 0.5885 1
Se1 Se 0.1363 0.2500 0.8990 1
Se2 Se 0.2410 0.7500 0.5723 1
Se3 Se 0.4457 0.7500 0.1499 1
# ρ, g/cm³: 5.33
# Total energy, eV/atom: -5.17
# M_tot, μB/atom: 0.292

Entry 3:
# RbZnH2Se | Alexandria | PBE | optimized geometry
data_RbZnH2Se
_chemical_formula_sum 'Rb1 Zn1 H2 Se1'
_cell_length_a 4.2640
_cell_length_b 4.2640
_cell_length_c 6.7036
_cell_angle_alpha 90.00
_cell_angle_beta 90.00
_cell_angle_gamma 90.00
_symmetry_space_group_name_H-M 'P 4/m m m'
_symmetry_Int_Tables_number 123
_symmetry_space_group_name_Hall '-P 4 2'
loop_
_atom_site_label
_atom_site_type_symbol
_atom_site_fract_x
_atom_site_fract_y
_atom_site_fract_z
_atom_site_occupancy
Rb1 Rb 0.0000 0.0000 0.0000 1
Zn1 Zn 0.5000 0.5000 0.0000 1
H1 H 0.0000 0.5000 0.5000 1
Se1 Se 0.0000 0.0000 0.5000 1
# ρ, g/cm³: 3.16
# Total energy, eV/atom: -2.01
# M_tot, μB/atom: 0.000

Entry 4:
# RbSiH4 | Alexandria | PBE | optimized geometry
data_RbSiH4
_chemical_formula_sum 'Rb2 Si2 H8'
_cell_length_a 6.8222
_cell_length_b 5.0726
_cell_length_c 5.1282
_cell_angle_alpha 90.00
_cell_angle_beta 90.00
_cell_angle_gamma 90.00
_symmetry_space_group_name_H-M 'P m n 21'
_symmetry_Int_Tables_number 31
loop_
_symmetry_equiv_pos_as_xyz
'x,y,z'
'-x+1/2,-y,z+1/2'
'-x,y,z'
'x+1/2,-y,z+1/2'
loop_
_atom_site_label
_atom_site_type_symbol
_atom_site_fract_x
_atom_site_fract_y
_atom_site_fract_z
_atom_site_occupancy
Rb1 Rb 0.0000 0.0662 0.0000 1
Si1 Si 0.0000 0.5920 0.5148 1
H1 H 0.0000 0.2869 0.5148 1
H2 H 0.0000 0.5904 0.2001 1
H3 H 0.1733 0.6211 0.7060 1
# ρ, g/cm³: 2.20
# Total energy, eV/atom: -3.22
# M_tot, μB/atom: 0.000

Entry 5:
# RbSiH | Alexandria | PBE | optimized geometry
data_RbSiH
_chemical_formula_sum 'Rb4 Si4 H4'
_cell_length_a 12.8544
_cell_length_b 3.9837
_cell_length_c 9.4566
_cell_angle_alpha 90.00
_cell_angle_beta 131.94
_cell_angle_gamma 90.00
_symmetry_space_group_name_H-M 'C 1 m 1'
_symmetry_Int_Tables_number 8
loop_
_symmetry_equiv_pos_as_xyz
'x,y,z'
'x,-y,z'
'x+1/2,y+1/2,z'
'x+1/2,-y+1/2,z'
loop_
_atom_site_label
_atom_site_type_symbol
_atom_site_fract_x
_atom_site_fract_y
_atom_site_fract_z
_atom_site_occupancy
Rb1 Rb 0.0000 0.0000 0.0000 1
Rb2 Rb 0.0282 0.5000 0.5205 1
Si1 Si 0.2338 0.0000 0.9244 1
Si2 Si 0.2981 0.5000 0.1136 1
H1 H 0.0684 0.0000 0.7703 1
H2 H 0.2103 0.5000 0.1746 1
# ρ, g/cm³: 2.11
# Total energy, eV/atom: -3.32
# M_tot, μB/atom: 0.000
# Polymorph energy (0 for the lowest one), meV/atom: 18.1

Entry 6:
# RbSiH | Alexandria | PBE | optimized geometry
data_RbSiH
_chemical_formula_sum 'Rb1 Si1 H1'
_cell_length_a 3.5317
_cell_length_b 3.5439
_cell_length_c 5.2149
_cell_angle_alpha 90.00
_cell_angle_beta 90.00
_cell_angle_gamma 90.00
_symmetry_space_group_name_H-M 'P m m 2'
_symmetry_Int_Tables_number 25
loop_
_symmetry_equiv_pos_as_xyz
'x,y,z'
'-x,-y,z'
'-x,y,z'
'x,-y,z'
loop_
_atom_site_label
_atom_site_type_symbol
_atom_site_fract_x
_atom_site_fract_y
_atom_site_fract_z
_atom_site_occupancy
Rb1 Rb 0.0000 0.0000 0.0000 1
Si1 Si 0.5000 0.5000 0.4717 1
H1 H 0.5000 0.5000 0.7697 1
# ρ, g/cm³: 2.91
# Total energy, eV/atom: -3.00
# M_tot, μB/atom: 0.000
# Polymorph energy (0 for the lowest one), meV/atom: 341.0

Entry 7:
# RbSiH | Alexandria | PBE | optimized geometry
data_RbSiH
_chemical_formula_sum 'Rb4 Si4 H4'
_cell_length_a 12.6818
_cell_length_b 5.0078
_cell_length_c 5.3944
_cell_angle_alpha 90.00
_cell_angle_beta 98.76
_cell_angle_gamma 90.00
_symmetry_space_group_name_H-M 'C 1 2/m 1'
_symmetry_Int_Tables_number 12
loop_
_symmetry_equiv_pos_as_xyz
'x,y,z'
'-x,-y,-z'
'-x,y,-z'
'x,-y,z'
'x+1/2,y+1/2,z'
'-x+1/2,-y+1/2,-z'
'-x+1/2,y+1/2,-z'
'x+1/2,-y+1/2,z'
loop_
_atom_site_label
_atom_site_type_symbol
_atom_site_fract_x
_atom_site_fract_y
_atom_site_fract_z
_atom_site_occupancy
Rb1 Rb 0.1375 0.0000 0.1968 1
Si1 Si 0.0709 0.5000 0.6552 1
H1 H 0.1562 0.5000 0.4719 1
# ρ, g/cm³: 2.25
# Total energy, eV/atom: -3.24
# M_tot, μB/atom: 0.000
# Polymorph energy (0 for the lowest one), meV/atom: 101.7

Entry 8:
# RbSiH5 | Alexandria | PBE | optimized geometry
data_RbSiH5
_chemical_formula_sum 'Rb4 Si4 H20'
_cell_length_a 9.4534
_cell_length_b 7.3915
_cell_length_c 5.1076
_cell_angle_alpha 90.00
_cell_angle_beta 90.00
_cell_angle_gamma 90.00
_symmetry_space_group_name_H-M 'I m a 2'
_symmetry_Int_Tables_number 46
loop_
_symmetry_equiv_pos_as_xyz
'x,y,z'
'-x,-y,z'
'-x+1/2,y,z'
'x+1/2,-y,z'
'x+1/2,y+1/2,z+1/2'
'-x+1/2,-y+1/2,z+1/2'
'-x,y+1/2,z+1/2'
'x,-y+1/2,z+1/2'
loop_
_atom_site_label
_atom_site_type_symbol
_atom_site_fract_x
_atom_site_fract_y
_atom_site_fract_z
_atom_site_occupancy
Rb1 Rb 0.0000 0.0000 0.0000 1
Si1 Si 0.2500 0.0870 0.5051 1
H1 H 0.0872 0.1208 0.5080 1
H2 H 0.2500 0.2345 0.7781 1
H3 H 0.2500 0.5415 0.7652 1
H4 H 0.2500 0.5679 0.2114 1
# ρ, g/cm³: 2.21
# Total energy, eV/atom: -3.40
# M_tot, μB/atom: 0.000

Entry 9:
# RbSiH | Alexandria | PBE | optimized geometry
data_RbSiH
_chemical_formula_sum 'Rb4 Si4 H4'
_cell_length_a 12.4324
_cell_length_b 3.9254
_cell_length_c 6.2689
_cell_angle_alpha 90.00
_cell_angle_beta 115.17
_cell_angle_gamma 90.00
_symmetry_space_group_name_H-M 'C 1 2/m 1'
_symmetry_Int_Tables_number 12
loop_
_symmetry_equiv_pos_as_xyz
'x,y,z'
'-x,-y,-z'
'-x,y,-z'
'x,-y,z'
'x+1/2,y+1/2,z'
'-x+1/2,-y+1/2,-z'
'-x+1/2,y+1/2,-z'
'x+1/2,-y+1/2,z'
loop_
_atom_site_label
_atom_site_type_symbol
_atom_site_fract_x
_atom_site_fract_y
_atom_site_fract_z
_atom_site_occupancy
Rb1 Rb 0.0888 0.0000 0.3315 1
Si1 Si 0.1963 0.5000 0.8841 1
H1 H 0.0965 0.5000 0.9741 1
# ρ, g/cm³: 2.75
# Total energy, eV/atom: -3.33
# M_tot, μB/atom: 0.000
# Polymorph energy (0 for the lowest one), meV/atom: 10.3

Entry 10:
# RbSiH | Alexandria | PBE | optimized geometry
data_RbSiH
_chemical_formula_sum 'Rb2 Si2 H2'
_cell_length_a 4.0374
_cell_length_b 5.8910
_cell_length_c 6.7815
_cell_angle_alpha 64.63
_cell_angle_beta 89.79
_cell_angle_gamma 89.99
_symmetry_space_group_name_H-M 'P 1'
_symmetry_Int_Tables_number 1
loop_
_symmetry_equiv_pos_as_xyz
'x,y,z'
loop_
_atom_site_label
_atom_site_type_symbol
_atom_site_fract_x
_atom_site_fract_y
_atom_site_fract_z
_atom_site_occupancy
Rb1 Rb 0.0000 0.0000 0.0000 1
Rb2 Rb 0.4966 0.7016 0.5917 1
Si1 Si 0.4989 0.3821 0.1854 1
Si2 Si 0.9976 0.2681 0.4073 1
H1 H 0.4998 0.6746 0.0534 1
H2 H 0.9967 0.4192 0.5492 1
# ρ, g/cm³: 2.61
# Total energy, eV/atom: -3.33
# M_tot, μB/atom: 0.000
# Polymorph energy (0 for the lowest one), meV/atom: 4.2

Entry 11:
# RbSiH | Alexandria | PBE | optimized geometry
data_RbSiH
_chemical_formula_sum 'Rb2 Si2 H2'
_cell_length_a 5.7543
_cell_length_b 5.9414
_cell_length_c 5.9540
_cell_angle_alpha 97.58
_cell_angle_beta 108.40
_cell_angle_gamma 108.35
_symmetry_space_group_name_H-M 'P -1'
_symmetry_Int_Tables_number 2
loop_
_symmetry_equiv_pos_as_xyz
'x,y,z'
'-x,-y,-z'
loop_
_atom_site_label
_atom_site_type_symbol
_atom_site_fract_x
_atom_site_fract_y
_atom_site_fract_z
_atom_site_occupancy
Rb1 Rb 0.0000 0.0000 0.0000 1
Rb2 Rb 0.0000 0.5000 0.5000 1
Si1 Si 0.4417 0.1204 0.6203 1
H1 H 0.2698 0.7044 0.2052 1
# ρ, g/cm³: 2.15
# Total energy, eV/atom: -3.21
# M_tot, μB/atom: 0.000
# Polymorph energy (0 for the lowest one), meV/atom: 128.4

Entry 12:
# Rb3SiH | Alexandria | PBE | optimized geometry
data_Rb3SiH
_chemical_formula_sum 'Rb3 Si1 H1'
_cell_length_a 5.6782
_cell_length_b 5.6782
_cell_length_c 5.6782
_cell_angle_alpha 90.00
_cell_angle_beta 90.00
_cell_angle_gamma 90.00
_symmetry_space_group_name_H-M 'P m -3 m'
_symmetry_Int_Tables_number 221
_symmetry_space_group_name_Hall '-P 4 2 3'
loop_
_atom_site_label
_atom_site_type_symbol
_atom_site_fract_x
_atom_site_fract_y
_atom_site_fract_z
_atom_site_occupancy
Rb1 Rb 0.0000 0.0000 0.5000 1
Si1 Si 0.5000 0.5000 0.5000 1
H1 H 0.0000 0.0000 0.0000 1
# ρ, g/cm³: 2.59
# Total energy, eV/atom: -2.10
# M_tot, μB/atom: 0.400